# 1
First-principles (GGA-PBE) data for Y2NiCl after structural relaxation, as listed in Alexandria.

The structure in CIF format:
```
data_Y2NiCl
_symmetry_space_group_name_H-M 'R 3 m'
_symmetry_Int_Tables_number 160
_symmetry_space_group_name_Hall 'R 3 -2"'
_cell_length_a 3.8915
_cell_length_b 3.8915
_cell_length_c 22.2844
_cell_angle_alpha 90.00
_cell_angle_beta 90.00
_cell_angle_gamma 120.00
loop_
_atom_site_label
_atom_site_fract_x
_atom_site_fract_y
_atom_site_fract_z
Y1 0.0000 0.0000 0.0000
Y2 0.0000 0.0000 0.2015
Ni1 0.0000 0.0000 0.6006
Cl1 0.0000 0.0000 0.4305
```

Calculated values
Total DFT energy (no corrections) = -6.02 eV/atom
Raw formation energy = -3.512 eV/f.u.
Crystal system = trigonal
V = 292.3 Å³ per cell
E above lowest polymorph = 32.7 meV/atom
Mass density = 4.64 g/cm3

# 2
First-principles (GGA-PBE) data for BeNi2H after structural relaxation, as listed in Alexandria.

The structure in CIF format:
```
data_BeNi2H
_symmetry_space_group_name_H-M 'P 4/m m m'
_symmetry_Int_Tables_number 123
_symmetry_space_group_name_Hall '-P 4 2'
_cell_length_a 2.491
_cell_length_b 2.491
_cell_length_c 5.116
_cell_angle_alpha 90.00
_cell_angle_beta 90.00
_cell_angle_gamma 90.00
loop_
_atom_site_label
_atom_site_fract_x
_atom_site_fract_y
_atom_site_fract_z
Be1 0.000 0.000 0.000
Ni1 0.500 0.500 0.269
H1 0.000 0.000 0.500
```

Calculated values
Total DFT energy (no corrections) = -4.70 eV/atom
Crystal system = tetragonal
V = 31.7 Å³ per cell
E above lowest polymorph = 130.9 meV/atom
Mass density = 6.66 g/cm3

# 3
First-principles (GGA-PBE) data for PaPRu2 after structural relaxation, as listed in Alexandria.

The structure in CIF format:
```
data_PaPRu2
_symmetry_space_group_name_H-M 'P m m n'
_symmetry_Int_Tables_number 59
_cell_length_a 4.065
_cell_length_b 5.785
_cell_length_c 5.779
_cell_angle_alpha 90.00
_cell_angle_beta 90.00
_cell_angle_gamma 90.00
loop_
_symmetry_equiv_pos_as_xyz
'x,y,z'
'-x,-y,-z'
'-x+1/2,-y+1/2,z'
'x+1/2,y+1/2,-z'
'x+1/2,-y,-z'
'-x+1/2,y,z'
'-x,y+1/2,-z'
'x,-y+1/2,z'
loop_
_atom_site_label
_atom_site_fract_x
_atom_site_fract_y
_atom_site_fract_z
Pa1 0.250 0.250 0.131
P1 0.250 0.750 0.328
Ru1 0.250 0.011 0.665
```

Calculated values
Total DFT energy (no corrections) = -9.01 eV/atom
Crystal system = orthorhombic
V = 135.9 Å³ per cell
Energy relative to the elements = -2.577 eV/f.u.
E above lowest polymorph = 0.0 meV/atom
Mass density = 11.34 g/cm3

# 4
First-principles (GGA-PBE) data for La2OsRh after structural relaxation, as listed in Alexandria.

The structure in CIF format:
```
data_La2OsRh
_symmetry_space_group_name_H-M 'I m m 2'
_symmetry_Int_Tables_number 44
_cell_length_a 3.325
_cell_length_b 4.727
_cell_length_c 11.865
_cell_angle_alpha 90.00
_cell_angle_beta 90.00
_cell_angle_gamma 90.00
loop_
_symmetry_equiv_pos_as_xyz
'x,y,z'
'-x,-y,z'
'-x,y,z'
'x,-y,z'
'x+1/2,y+1/2,z+1/2'
'-x+1/2,-y+1/2,z+1/2'
'-x+1/2,y+1/2,z+1/2'
'x+1/2,-y+1/2,z+1/2'
loop_
_atom_site_label
_atom_site_fract_x
_atom_site_fract_y
_atom_site_fract_z
La1 0.000 0.000 0.000
La2 0.000 0.500 0.212
Os1 0.000 0.500 0.759
Rh1 0.000 0.000 0.434
```

Calculated values
Total DFT energy (no corrections) = -7.24 eV/atom
Crystal system = orthorhombic
V = 186.5 Å³ per cell
Energy relative to the elements = -0.507 eV/f.u.
E above lowest polymorph = 113.9 meV/atom
Mass density = 10.17 g/cm3